[1]
Material: ScCuPb2
Method: DFT, GGA-PBEsol
State: relaxed

```
ScCuPb2
1.0
3.588 0.006 0.000
-0.812 3.495 0.000
0.000 0.000 6.959
Cu Pb Sc
1 2 1
Direct
0.500 0.500 0.000 Cu
0.000 0.000 0.226 Pb
0.000 0.000 0.774 Pb
0.500 0.500 0.500 Sc
```

Properties
* total magnetization: 0.0 Bohr magnetons per cell
* DOS at the Fermi energy: 0.552 states/eV per atom
* uncorrected energy: -4.752 eV/atom
* ΔE_f: -0.072 eV/f.u.

[2]
Material: TcSb2Pt
Method: DFT, GGA-PBEsol
State: relaxed

```
TcSb2Pt
1.0
3.296 0.000 0.000
-1.648 4.227 -0.001
0.000 -1.133 5.250
Pt Sb Tc
1 2 1
Direct
0.500 0.000 0.000 Pt
0.743 0.486 0.737 Sb
0.257 0.514 0.263 Sb
0.000 0.000 0.500 Tc
```

Properties
* total magnetization: 0.0 Bohr magnetons per cell
* DOS at the Fermi energy: 0.653 states/eV per atom
* uncorrected energy: -6.725 eV/atom
* uncorrected formation energy: 0.1109 eV/atom

[3]
Material: PAu2Br
Method: DFT, GGA-PBEsol
State: relaxed

```
PAu2Br
1.0
-2.864 -0.342 0.825
1.057 -3.948 2.036
1.920 4.807 3.203
Au Br P
2 1 1
Direct
0.704 0.704 0.408 Au
0.296 0.296 0.592 Au
0.500 0.000 0.000 Br
0.000 0.500 0.000 P
```

Properties
* total magnetization: 0.0 Bohr magnetons per cell
* DOS at the Fermi energy: 0.329 states/eV per atom
* uncorrected energy: -3.433 eV/atom
* uncorrected formation energy: 0.4449 eV/atom

[4]
Material: La2MgZn
Method: DFT, GGA-PBEsol
State: relaxed

```
La2MgZn
1.0
3.699 0.000 0.000
0.000 5.349 0.000
-1.850 -2.675 5.360
Zn Mg La
1 1 2
Direct
0.229 0.229 0.458 Zn
0.540 0.040 0.080 Mg
0.975 0.475 0.951 La
0.756 0.756 0.511 La
```

Properties
* total magnetization: 0.0 Bohr magnetons per cell
* DOS at the Fermi energy: 0.832 states/eV per atom
* uncorrected energy: -3.654 eV/atom
* ΔE_f: -0.623 eV/f.u.

[5]
Material: KCoAs2
Method: DFT, GGA-PBEsol
State: relaxed

```
KCoAs2
1.0
2.922 0.000 0.000
0.000 2.922 0.000
0.000 0.000 9.089
As Co K
2 1 1
Direct
0.000 0.000 0.018 As
0.500 0.500 0.318 As
0.000 0.000 0.438 Co
0.500 0.500 0.725 K
```

Properties
* total magnetization: 0.0 Bohr magnetons per cell
* DOS at the Fermi energy: 0.889 states/eV per atom
* uncorrected energy: -4.488 eV/atom
* ΔE_f: 1.130 eV/f.u.

[6]
Material: SrTeN2
Method: DFT, GGA-PBEsol
State: relaxed

```
SrTeN2
1.0
3.803 0.000 0.000
1.902 3.294 0.000
1.902 1.098 6.557
Sr Te N
1 1 2
Direct
0.500 0.500 0.500 Sr
0.000 0.000 0.000 Te
0.901 0.901 0.297 N
0.099 0.099 0.703 N
```

Properties
* total magnetization: 0.0 Bohr magnetons per cell
* DOS at the Fermi energy: 0.445 states/eV per atom
* uncorrected energy: -5.296 eV/atom
* uncorrected formation energy: 0.3087 eV/atom

[7]
Material: Zr2ZnCu
Method: DFT, GGA-PBEsol
State: relaxed

```
Zr2ZnCu
1.0
3.199 0.000 0.000
1.599 2.770 0.000
1.599 0.923 8.352
Cu Zn Zr
1 1 2
Direct
0.507 0.507 0.479 Cu
0.240 0.240 0.281 Zn
0.995 0.995 0.016 Zr
0.759 0.759 0.724 Zr
```

Properties
* total magnetization: 0.0 Bohr magnetons per cell
* DOS at the Fermi energy: 1.040 states/eV per atom
* uncorrected energy: -5.938 eV/atom
* ΔE_f: 0.343 eV/f.u.

[8]
Material: SrPdNCl2
Method: DFT, GGA-PBEsol
State: relaxed

```
SrPdNCl2
1.0
4.605 0.000 0.000
0.000 4.605 0.000
0.000 0.000 5.885
Sr N Pd Cl
1 1 1 2
Direct
0.000 0.000 0.500 Sr
0.500 0.500 0.500 N
0.000 0.000 0.000 Pd
0.000 0.500 0.000 Cl
0.500 0.000 0.000 Cl
```

Properties
* total magnetization: 2.0 Bohr magnetons per cell
* DOS at the Fermi energy: 0.590 states/eV per atom
* uncorrected energy: -3.947 eV/atom
* uncorrected formation energy: 0.1214 eV/atom

[9]
Material: TaBe2Sb
Method: DFT, GGA-PBEsol
State: relaxed

```
TaBe2Sb
1.0
-0.932 3.665 0.425
-1.496 -0.777 3.412
4.799 -0.734 -0.185
Sb Ta Be
1 1 2
Direct
0.500 0.500 0.000 Sb
0.000 0.000 0.000 Ta
0.250 0.750 0.500 Be
0.750 0.250 0.500 Be
```

Properties
* total magnetization: 0.0 Bohr magnetons per cell
* DOS at the Fermi energy: 0.398 states/eV per atom
* uncorrected energy: -5.881 eV/atom
* uncorrected formation energy: 0.3963 eV/atom

[10]
Material: Pm2CoIr
Method: DFT, GGA-PBEsol
State: relaxed

```
Pm2CoIr
1.0
4.854 0.000 0.000
2.427 4.204 0.000
2.427 1.401 3.963
Ir Co Pm
1 1 2
Direct
0.500 0.500 0.500 Ir
0.000 0.000 0.000 Co
0.750 0.750 0.750 Pm
0.250 0.250 0.250 Pm
```

Properties
* total magnetization: 0.6 Bohr magnetons per cell
* DOS at the Fermi energy: 0.457 states/eV per atom
* uncorrected energy: -7.229 eV/atom
* ΔE_f: -1.082 eV/f.u.

[11]
Material: Pd3WBr
Method: DFT, GGA-PBEsol
State: relaxed

```
Pd3WBr
1.0
-3.712 0.046 2.707
-2.252 -2.602 -3.044
1.503 -3.786 2.125
Br Pd W
1 3 1
Direct
0.000 0.000 0.000 Br
0.000 0.500 0.000 Pd
0.000 0.000 0.500 Pd
0.500 0.000 0.000 Pd
0.500 0.500 0.500 W
```

Properties
* total magnetization: 3.9 Bohr magnetons per cell
* DOS at the Fermi energy: 0.742 states/eV per atom
* uncorrected energy: -5.224 eV/atom
* uncorrected formation energy: 1.4865 eV/atom

[12]
Material: ScAg5
Method: DFT, GGA-PBEsol
State: relaxed

```
ScAg5
1.0
3.410 0.000 0.000
0.000 3.410 0.000
0.000 0.000 8.985
Sc Ag
1 5
Direct
0.500 0.500 0.500 Sc
0.000 0.000 0.674 Ag
0.500 0.500 0.837 Ag
0.000 0.000 0.000 Ag
0.500 0.500 0.163 Ag
0.000 0.000 0.326 Ag
```

Properties
* total magnetization: 0.0 Bohr magnetons per cell
* DOS at the Fermi energy: 0.373 states/eV per atom
* uncorrected energy: -3.969 eV/atom
* ΔE_f: -0.652 eV/f.u.